Here is a relaxed TlAgMoBr6 crystal from Alexandria via LeMat-Bulk. Energies are from PBE.

abc: 7.205 7.206 6.881
angles: 90.00 90.01 60.00
Element x y z (fractional)
Tl1 0.000 0.000 0.000
Br1 0.033 0.612 0.716
Br2 0.033 0.356 0.284
Br3 0.356 0.612 0.284
Mo1 0.333 0.333 0.500
Br4 0.612 0.356 0.716
Br5 0.612 0.033 0.284
Br6 0.356 0.033 0.716
Ag1 0.667 0.667 0.500

Output
**Calculated volume**: 309.4 Å³/f.u.
**Raw formation energy**: -0.530 eV per atom
**Final energy**: -3.4284 eV/atom
**D(E_F)**: 6.71 states/eV per cell
**Mass density**: 4.76 Mg/m³